First-principles (GGA-PBE) data for crystalline Lu3Si3Ni at its relaxed geometry, as listed in OQMD.

Lattice parameters (Å, degrees): 5.4623 5.4623 13.2661 108.83 108.83 44.28
Fractional coordinates of all 14 atoms:
Lu 0.0298 0.0298 0.3800
Lu 0.1020 0.1020 0.9213
Lu 0.2471 0.2471 0.2273
Lu 0.7529 0.7529 0.7727
Lu 0.8980 0.8980 0.0787
Lu 0.9702 0.9702 0.6200
Si 0.3648 0.3648 0.4566
Si 0.3844 0.3844 0.9241
Si 0.4558 0.4558 0.7638
Si 0.5442 0.5442 0.2362
Si 0.6156 0.6156 0.0759
Si 0.6352 0.6352 0.5434
Ni 0.2526 0.2526 0.5977
Ni 0.7474 0.7474 0.4023

Values from the calculation:
energy: -5.89 eV/atom
space group: C2/m, No. 12

First-principles (GGA-PBE) data for crystalline Lu6Si2Ni at its relaxed geometry, as listed in OQMD.

Lattice parameters (Å, degrees): 7.5949 7.5949 4.0940 90.00 90.00 120.00
Fractional coordinates of all 9 atoms:
Lu 0.0000 0.2535 0.0000
Lu 0.0000 0.5960 0.5000
Lu 0.2535 0.0000 0.0000
Lu 0.4040 0.4040 0.5000
Lu 0.5960 0.0000 0.5000
Lu 0.7465 0.7465 0.0000
Si 0.3333 0.6667 0.0000
Si 0.6667 0.3333 0.0000
Ni 0.0000 0.0000 0.5000

Values from the calculation:
energy: -5.30 eV/atom
space group: P-62m, No. 189

First-principles (GGA-PBE) data for crystalline TbLu2Si4Ni4 at its relaxed geometry, as listed in OQMD.

Lattice parameters (Å, degrees): 7.6060 7.6060 7.6060 149.73 128.78 60.66
Fractional coordinates of all 11 atoms:
Tb 0.0000 0.0000 0.0000
Lu 0.3719 0.8719 0.5000
Lu 0.6281 0.1281 0.5000
Si 0.2196 0.2196 0.0000
Si 0.3143 0.5000 0.8143
Si 0.6857 0.5000 0.1857
Si 0.7804 0.7804 0.0000
Ni 0.0194 0.3224 0.6970
Ni 0.3746 0.6776 0.6970
Ni 0.6254 0.3224 0.3030
Ni 0.9806 0.6776 0.3030

Values from the calculation:
energy: -6.06 eV/atom
space group: Immm, No. 71

Among the records above, which one has the highest energy? Lu6Si2Ni